No. 1
Below is crystalline TaZnH at its relaxed geometry, with properties calculated at the PBE-GGA level.

Values from the calculation:
Total DFT energy (no corrections), eV per cell: -61.6
V, Å³ per atom: 12.29
Energy above the most stable polymorph in this dataset, eV/atom: 0.413

a = 4.7697 Å, b = 6.4547 Å, c = 4.7914 Å
α = 90.00°, β = 90.00°, γ = 90.00°
Space group Cmcm (No. 63)
Asymmetric unit:
Ta  0.0000  0.1206  0.2500 x4
Zn  0.0000  0.5000  0.0000 x4
H  0.0000  0.1701  0.7500 x4

---

No. 2
Below is crystalline NaGdF2 at its relaxed geometry, with properties calculated at the PBE-GGA level.

Values from the calculation:
Total DFT energy (no corrections), eV per cell: -28.1
Energy relative to the elements, uncorrected, eV/atom: -2.24
V, Å³ per atom: 21.50
Energy above the most stable polymorph in this dataset, eV/atom: 0.337

a = 3.1318 Å, b = 3.1318 Å, c = 8.7698 Å
α = 90.00°, β = 90.00°, γ = 90.00°
Space group P4/mmm (No. 123)
Asymmetric unit:
Na  0.0000  0.0000  0.0000 x1
Gd  0.0000  0.0000  0.5000 x1
F  0.5000  0.5000  0.3613 x2

---

No. 3
Below is crystalline Mn3CuP at its relaxed geometry, with properties calculated at the PBE-GGA level.

Values from the calculation:
Total DFT energy (no corrections), eV per cell: -35.1
V, Å³ per atom: 15.99
Energy above the most stable polymorph in this dataset, eV/atom: 0.000

a = 4.3076 Å, b = 4.3076 Å, c = 4.3076 Å
α = 90.00°, β = 90.00°, γ = 90.00°
Space group Pm-3m (No. 221)
Asymmetric unit:
Mn  0.0000  0.0000  0.5000 x3
Cu  0.5000  0.5000  0.5000 x1
P  0.0000  0.0000  0.0000 x1